(1)
A relaxed AsPt3 crystal, computed with PBE.

a = 4.9883 Å, b = 4.9883 Å, c = 4.9883 Å
α = 133.27°, β = 133.27°, γ = 68.23°
Fractional positions:
1 Pt 0.7500 0.2500 0.5000
2 Pt 0.2500 0.7500 0.5000
3 Pt 0.5000 0.5000 0.0000
4 As 0.0000 0.0000 0.0000

Summary:
SG: I4/mmm, No. 139
calculated total energy: -22.701 eV/cell
N(E_F): 4.3 states/eV/cell

(2)
A relaxed AsPt crystal, computed with PBE.

a = 3.4907 Å, b = 3.4907 Å, c = 7.9104 Å
α = 90.00°, β = 90.00°, γ = 120.00°
Fractional positions:
1 As 0.6667 0.3333 0.3220
2 As 0.0000 0.0000 0.9280
3 Pt 0.6667 0.3333 0.7535
4 Pt 0.0000 0.0000 0.4965

Summary:
SG: P-3m1, No. 164
calculated total energy: -22.075 eV/cell
N(E_F): 1.7 states/eV/cell

(3)
A relaxed As3Pt crystal, computed with PBE.

a = 6.0269 Å, b = 6.0269 Å, c = 6.0269 Å
α = 144.71°, β = 140.31°, γ = 54.15°
Fractional positions:
1 Pt 0.5000 0.0000 0.5000
2 As 0.3265 0.3265 0.0000
3 As 0.0000 0.5000 0.5000
4 As 0.6735 0.6735 0.0000

Summary:
SG: Immm, No. 71
distance to the lowest polymorph of the same formula: 0.71 eV per formula unit
calculated total energy: -19.615 eV/cell
N(E_F): 2.3 states/eV/cell

(4)
A relaxed As3Pt crystal, computed with PBE.

a = 4.6497 Å, b = 4.6497 Å, c = 4.6497 Å
α = 120.05°, β = 120.05°, γ = 89.92°
Fractional positions:
1 As 0.2500 0.7500 0.5000
2 As 0.7500 0.2500 0.5000
3 As 0.5000 0.5000 0.0000
4 Pt 0.0000 0.0000 0.0000

Summary:
SG: Fm-3m, No. 225
distance to the lowest polymorph of the same formula: 1.39 eV per formula unit
calculated total energy: -18.936 eV/cell
N(E_F): 1.2 states/eV/cell

(5)
A relaxed AsPt3 crystal, computed with PBE.

a = 5.1165 Å, b = 5.1165 Å, c = 5.1165 Å
α = 90.00°, β = 90.00°, γ = 90.00°
Fractional positions:
1 As 0.5000 0.5000 0.5000
2 As 0.0000 0.0000 0.0000
3 Pt 0.7500 0.5000 0.0000
4 Pt 0.0000 0.7500 0.5000
5 Pt 0.0000 0.2500 0.5000
6 Pt 0.5000 0.0000 0.2500
7 Pt 0.2500 0.5000 0.0000
8 Pt 0.5000 0.0000 0.7500

Summary:
SG: Pm-3n, No. 223
calculated total energy: -43.584 eV/cell
N(E_F): 13.2 states/eV/cell

(6)
A relaxed AsPt2 crystal, computed with PBE.

a = 7.1341 Å, b = 7.1341 Å, c = 3.3664 Å
α = 90.00°, β = 90.00°, γ = 120.00°
Fractional positions:
1 Pt 0.6414 0.0000 0.5000
2 Pt 0.6921 0.6921 0.0000
3 Pt 0.0000 0.6414 0.5000
4 Pt 0.0000 0.3080 0.0000
5 Pt 0.3586 0.3586 0.5000
6 Pt 0.3080 0.0000 0.0000
7 As 0.0000 0.0000 0.5000
8 As 0.6667 0.3333 0.0000
9 As 0.3333 0.6667 0.0000

Summary:
SG: P-62m, No. 189
calculated total energy: -51.219 eV/cell
N(E_F): 5.3 states/eV/cell

(7)
A relaxed AsPt crystal, computed with PBE.

a = 7.5990 Å, b = 7.5990 Å, c = 7.5990 Å
α = 90.00°, β = 90.00°, γ = 90.00°
Fractional positions:
1 Pt 0.3602 0.6398 0.6398
2 Pt 0.8602 0.1398 0.1398
3 Pt 0.3602 0.3602 0.3602
4 Pt 0.1398 0.1398 0.8602
5 Pt 0.6398 0.6398 0.3602
6 Pt 0.1398 0.8602 0.1398
7 Pt 0.8602 0.8602 0.8602
8 Pt 0.6398 0.3602 0.6398
9 As 0.3174 0.3174 0.6826
10 As 0.8174 0.1826 0.8174
11 As 0.3174 0.6826 0.3174
12 As 0.8174 0.8174 0.1826
13 As 0.1826 0.8174 0.8174
14 As 0.6826 0.6826 0.6826
15 As 0.1826 0.1826 0.1826
16 As 0.6826 0.3174 0.3174

Summary:
SG: I-43m, No. 217
calculated total energy: -87.027 eV/cell
N(E_F): 8.0 states/eV/cell

(8)
A relaxed AsPt crystal, computed with PBE.

a = 11.4319 Å, b = 3.6002 Å, c = 5.7720 Å
α = 90.00°, β = 90.00°, γ = 90.00°
Fractional positions:
1 As 0.5000 0.0000 0.8033
2 As 0.1900 0.0000 0.8085
3 As 0.3100 0.5000 0.3085
4 As 0.8100 0.0000 0.8085
5 As 0.6900 0.5000 0.3085
6 As 0.0000 0.5000 0.3033
7 Pt 0.3355 0.5000 0.7343
8 Pt 0.1645 0.0000 0.2343
9 Pt 0.0000 0.0000 0.6131
10 Pt 0.8355 0.0000 0.2343
11 Pt 0.6645 0.5000 0.7343
12 Pt 0.5000 0.5000 0.1131

Summary:
SG: Imm2, No. 44
calculated total energy: -67.234 eV/cell
N(E_F): 6.5 states/eV/cell

(9)
A relaxed AsPt2 crystal, computed with PBE.

a = 10.4047 Å, b = 10.4047 Å, c = 10.4047 Å
α = 162.38°, β = 162.38°, γ = 25.02°
Fractional positions:
1 Pt 0.3205 0.8205 0.5000
2 Pt 0.5705 0.5705 0.0000
3 Pt 0.4295 0.4295 0.0000
4 Pt 0.1795 0.6795 0.5000
5 As 0.7500 0.2500 0.5000
6 As 0.0000 0.0000 0.0000

Summary:
SG: I4_1/amd, No. 141
calculated total energy: -33.476 eV/cell
N(E_F): 3.4 states/eV/cell

(10)
A relaxed As3Pt crystal, computed with PBE.

a = 2.8779 Å, b = 2.8779 Å, c = 9.0036 Å
α = 90.00°, β = 90.00°, γ = 89.96°
Fractional positions:
1 As 0.0000 0.0000 0.4604
2 As 0.5000 0.5000 0.7500
3 As 0.0000 0.0000 0.0396
4 Pt 0.5000 0.5000 0.2500

Summary:
SG: P4/mmm, No. 123
distance to the lowest polymorph of the same formula: 1.03 eV per formula unit
calculated total energy: -19.294 eV/cell
N(E_F): 1.9 states/eV/cell

(11)
A relaxed Pu4AsPt2 crystal, computed with PBE.

a = 7.5719 Å, b = 7.5719 Å, c = 7.5719 Å
α = 108.93°, β = 110.55°, γ = 108.93°
Each line ends with the local moment (μB).
Fractional positions:
1 Pt 0.4958 0.3708 0.6250  -0.05
2 Pt 0.3750 0.8708 0.7458  -0.05
3 Pt 0.8750 0.1292 0.5042  -0.05
4 Pt 0.2542 0.6292 0.1250  -0.05
5 Pu 0.1258 0.8944 0.3754  5.41
6 Pu 0.1254 0.3944 0.3758  5.41
7 Pu 0.9815 0.6056 0.7310  5.41
8 Pu 0.4810 0.1056 0.2315  5.41
9 Pu 0.6246 0.7504 0.5190  5.41
10 Pu 0.7685 0.2496 0.8742  5.41
11 Pu 0.6242 0.7496 0.0185  5.41
12 Pu 0.2690 0.2504 0.8746  5.41
13 As 0.0000 0.0000 0.0000  -0.11
14 As 0.7500 0.5000 0.2500  -0.11

Summary:
SG: I-42d, No. 122
calculated total energy: -157.936 eV/cell
N(E_F): 63.7 states/eV/cell

(12)
A relaxed Pu8AsPt5 crystal, computed with PBE.

a = 7.5483 Å, b = 7.5483 Å, c = 7.5483 Å
α = 109.12°, β = 110.18°, γ = 109.12°
Each line ends with the local moment (μB).
Fractional positions:
1 Pu 0.9807 0.1032 0.7311  5.34
2 Pu 0.6204 0.3897 0.8717  5.33
3 Pu 0.7693 0.2513 0.3796  5.33
4 Pu 0.1225 0.7504 0.0193  5.34
5 Pu 0.2689 0.2496 0.3721  5.34
6 Pu 0.4820 0.6103 0.2307  5.33
7 Pu 0.6279 0.8968 0.8775  5.34
8 Pu 0.1283 0.7487 0.5180  5.33
9 Pt 0.7505 0.6277 0.6252  -0.07
10 Pt 0.8772 0.8747 0.2495  -0.07
11 Pt 0.3748 0.1253 0.0025  -0.07
12 Pt 0.9975 0.3723 0.1228  -0.07
13 Pt 0.5000 0.0000 0.5000  -0.07
14 As 0.2500 0.5000 0.7500  -0.13

Summary:
SG: I-4, No. 82
calculated total energy: -159.279 eV/cell
N(E_F): 64.1 states/eV/cell

(13)
A relaxed Pu3As2Pt4 crystal, computed with PBE.

a = 4.3897 Å, b = 5.6810 Å, c = 8.6384 Å
α = 110.44°, β = 90.00°, γ = 112.73°
Each line ends with the local moment (μB).
Fractional positions:
1 Pu 0.3617 0.7234 0.3134  5.00
2 Pu 0.0000 0.0000 0.0000  5.16
3 Pu 0.6383 0.2766 0.6866  5.00
4 As 0.3460 0.6919 0.6827  -0.07
5 As 0.6540 0.3081 0.3173  -0.07
6 Pt 0.0864 0.1729 0.4100  -0.12
7 Pt 0.7155 0.4310 0.0651  -0.11
8 Pt 0.2845 0.5690 0.9349  -0.11
9 Pt 0.9136 0.8271 0.5900  -0.12

Summary:
SG: C2/m, No. 12
calculated total energy: -83.794 eV/cell
N(E_F): 34.0 states/eV/cell

(14)
A relaxed PuAsPt3 crystal, computed with PBE.

a = 4.5889 Å, b = 5.8194 Å, c = 7.4707 Å
α = 90.00°, β = 107.91°, γ = 90.00°
Each line ends with the local moment (μB).
Fractional positions:
1 Pu 0.4014 0.7500 0.3026  5.03
2 Pu 0.5986 0.2500 0.6974  5.03
3 Pt 0.3702 0.2500 0.2400  -0.04
4 Pt 0.1959 0.4994 0.8920  -0.11
5 Pt 0.6298 0.7500 0.7600  -0.04
6 Pt 0.8041 0.5006 0.1080  -0.11
7 Pt 0.8041 0.9994 0.1080  -0.11
8 Pt 0.1959 0.0006 0.8920  -0.11
9 As 0.9493 0.2500 0.3982  -0.03
10 As 0.0507 0.7500 0.6018  -0.03

Summary:
SG: Cmcm, No. 63
calculated total energy: -79.706 eV/cell
N(E_F): 28.4 states/eV/cell

(15)
A relaxed PuAsPt crystal, computed with PBE.

a = 3.8328 Å, b = 3.8328 Å, c = 5.0492 Å
α = 112.31°, β = 112.31°, γ = 90.00°
Each line ends with the local moment (μB).
Fractional positions:
1 Pt 0.2970 0.2970 0.5940  -0.10
2 Pu 0.9464 0.9464 0.8928  4.99
3 As 0.6066 0.6066 0.2132  -0.05

Summary:
SG: I4mm, No. 107
calculated total energy: -26.674 eV/cell
N(E_F): 9.5 states/eV/cell

(16)
A relaxed Pu2AsPt6 crystal, computed with PBE.

a = 5.6339 Å, b = 5.6211 Å, c = 6.2937 Å
α = 78.47°, β = 90.00°, γ = 120.08°
Each line ends with the local moment (μB).
Fractional positions:
1 Pu 0.3562 0.7123 0.8633  5.05
2 Pu 0.6438 0.2877 0.1367  5.05
3 Pt 0.8766 0.7533 0.6957  -0.04
4 Pt 0.6085 0.7297 0.3164  -0.05
5 Pt 0.3915 0.2703 0.6836  -0.05
6 Pt 0.8787 0.2703 0.6836  -0.05
7 Pt 0.1234 0.2467 0.3043  -0.04
8 Pt 0.1213 0.7297 0.3164  -0.05
9 As 0.0000 0.0000 0.0000  -0.02

Summary:
SG: C2/m, No. 12
calculated total energy: -75.444 eV/cell
N(E_F): 22.8 states/eV/cell

(17)
A relaxed Pu2As3Pt2 crystal, computed with PBE.

a = 4.1290 Å, b = 7.5616 Å, c = 9.3244 Å
α = 98.69°, β = 90.01°, γ = 90.00°
Each line ends with the local moment (μB).
Fractional positions:
1 As 0.7497 0.4252 0.1431  -0.14
2 As 0.2500 0.7469 0.4781  0.00
3 As 0.2503 0.5748 0.8569  -0.14
4 As 0.2504 0.0493 0.8783  -0.13
5 As 0.7500 0.2531 0.5219  0.00
6 As 0.7496 0.9507 0.1217  -0.13
7 Pt 0.2500 0.4559 0.5947  -0.05
8 Pt 0.7500 0.9358 0.3934  -0.04
9 Pt 0.2500 0.0642 0.6066  -0.04
10 Pt 0.7500 0.5441 0.4053  -0.05
11 Pu 0.7503 0.3056 0.8430  4.92
12 Pu 0.2497 0.2041 0.2546  5.04
13 Pu 0.2497 0.6944 0.1570  4.92
14 Pu 0.7503 0.7959 0.7454  5.04

Summary:
SG: P2_1/m, No. 11
calculated total energy: -119.663 eV/cell
N(E_F): 40.6 states/eV/cell

(18)
A relaxed PuAs3PtRh2 crystal, computed with PBE.

a = 7.8346 Å, b = 7.8346 Å, c = 7.8346 Å
α = 54.78°, β = 54.78°, γ = 54.78°
Each line ends with the local moment (μB).
Fractional positions:
1 Rh 0.0000 0.0000 0.0000  -0.04
2 Rh 0.0000 0.5000 0.0000  -0.19
3 Rh 0.5000 0.0000 0.0000  -0.19
4 Rh 0.0000 0.0000 0.5000  -0.19
5 As 0.2317 0.8017 0.2317  -0.04
6 As 0.1983 0.7683 0.7683  -0.04
7 As 0.7683 0.1983 0.7683  -0.04
8 As 0.8017 0.2317 0.2317  -0.04
9 As 0.7683 0.7683 0.1983  -0.04
10 As 0.2317 0.2317 0.8017  -0.04
11 Pt 0.3987 0.3987 0.3987  -0.07
12 Pt 0.6013 0.6013 0.6013  -0.07
13 Pu 0.2587 0.2587 0.2587  5.11
14 Pu 0.7413 0.7413 0.7413  5.11

Summary:
SG: R-3m, No. 166
calculated total energy: -102.905 eV/cell
N(E_F): 28.8 states/eV/cell

(19)
A relaxed Pu2As4PtRh3 crystal, computed with PBE.

a = 4.2895 Å, b = 4.2895 Å, c = 10.0292 Å
α = 90.00°, β = 90.00°, γ = 90.00°
Each line ends with the local moment (μB).
Fractional positions:
1 As 0.0000 0.5000 0.3590  -0.02
2 As 0.5000 0.0000 0.6410  -0.02
3 As 0.0000 0.0000 0.0000  -0.03
4 As 0.5000 0.5000 0.0000  -0.03
5 Pt 0.5000 0.5000 0.5000  0.08
6 Rh 0.5000 0.0000 0.8800  -0.07
7 Rh 0.0000 0.0000 0.5000  0.18
8 Rh 0.0000 0.5000 0.1200  -0.07
9 Pu 0.0000 0.5000 0.7547  5.19
10 Pu 0.5000 0.0000 0.2453  5.19

Summary:
SG: P-4m2, No. 115
calculated total energy: -82.110 eV/cell
N(E_F): 30.0 states/eV/cell

(20)
A relaxed Pu2As3PtRh4 crystal, computed with PBE.

a = 3.9938 Å, b = 3.9938 Å, c = 11.3776 Å
α = 90.00°, β = 90.00°, γ = 90.00°
Each line ends with the local moment (μB).
Fractional positions:
1 As 0.5000 0.0000 0.8740  -0.02
2 As 0.0000 0.5000 0.1260  -0.02
3 As 0.0000 0.0000 0.5000  -0.06
4 Rh 0.0000 0.5000 0.3342  -0.30
5 Rh 0.5000 0.0000 0.6658  -0.30
6 Rh 0.0000 0.0000 0.0000  0.02
7 Rh 0.5000 0.5000 0.0000  0.03
8 Pu 0.5000 0.0000 0.2660  5.05
9 Pu 0.0000 0.5000 0.7340  5.05
10 Pt 0.5000 0.5000 0.5000  -0.11

Summary:
SG: P-4m2, No. 115
calculated total energy: -84.548 eV/cell
N(E_F): 21.3 states/eV/cell

What calculated volume values result from the calculations? In sequence: 64.7, 83.5, 80.2, 71.0, 133.9, 148.4, 438.8, 237.6, 103.2, 74.6, 334.1, 331.0, 183.9, 189.8, 62.6, 167.8, 287.8, 298.7, 184.5, 181.5 Å³ per cell.
What calculated density values result from the calculations? In sequence: 16.95, 10.74, 8.69, 9.82, 16.37, 15.61, 8.17, 11.32, 14.97, 9.35, 14.33, 15.06, 15.01, 15.82, 13.64, 17.15, 12.73, 9.67, 11.62, 12.07 g cm⁻³.